# Cs2KTaIn

A relaxed structure of Cs2KTaIn (PBE-GGA, Alexandria).

Unit cell a=6.835 b=6.835 c=6.949 alpha=90.00 beta=90.00 gamma=90.00
Atoms (fractional coordinates):
Cs1 0.000 0.500 0.000
Cs2 0.500 0.000 0.000
K1 0.000 0.000 0.500
Ta1 0.000 0.000 0.000
In1 0.500 0.500 0.500

Values from the calculation:
uncorrected energy: -2.077 eV/atom
calculated formation energy: 1.402 eV/atom